Material: Li2VF6
Method: DFT, GGA+U
State: relaxed

Cell: 5.8555 5.8555 4.8907 Å, 73.41 73.41 56.32°
Last column: nearest neighbours and their distance in Å.
Sites, in units of the cell vectors:
V1 0.0000 0.0000 0.0000  6 F 1.87-1.90
F1 0.1736 0.6891 0.8178  1 Li 1.85, 1 V 1.87
Li1 0.6568 0.6568 0.2878  3 F 1.83-1.85
F2 0.8264 0.3109 0.1822  1 Li 1.85, 1 V 1.87
F3 0.6891 0.1736 0.8178  1 Li 1.85, 1 V 1.87
F4 0.1692 0.1692 0.6917  1 Li 1.83, 1 V 1.90
F5 0.8308 0.8308 0.3083  1 Li 1.83, 1 V 1.90
F6 0.3109 0.8264 0.1822  1 Li 1.85, 1 V 1.87
Li2 0.3432 0.3432 0.7122  3 F 1.83-1.85

Output
SG: C2/m (12)
magnetic moment: 1.000 μB/f.u.
energy relative to the lowest polymorph listed for this composition: 59 kJ/mol of formula units